1.
# Ba2ZnAs2

A relaxed structure of Ba2ZnAs2 (PBE, the Alexandria database).

POSCAR file:
```
Ba2ZnAs2
1.0
-1.6154 7.6237 2.7139
-4.0972 -3.1571 6.4297
3.9323 -0.0500 2.4812
Ba As Zn
4 4 2
Direct
0.1847 0.6847 0.5000 Ba
0.6847 0.8153 0.5000 Ba
0.3153 0.1847 0.5000 Ba
0.8153 0.3153 0.5000 Ba
0.3935 0.8935 0.0000 As
0.8935 0.6065 0.0000 As
0.1065 0.3935 0.0000 As
0.6065 0.1065 0.0000 As
0.5000 0.5000 0.0000 Zn
0.0000 0.0000 0.0000 Zn
```

Properties
energy of formation	-0.73	eV/atom
V	31.66	Å³/atom

---

2.
# BaZn4As

A relaxed structure of BaZn4As (PBE, the Alexandria database).

POSCAR file:
```
BaZn4As
1.0
4.4420 2.9548 2.0255
0.4021 1.0740 5.5901
3.9843 -2.6250 3.1304
Ba Zn As
1 4 1
Direct
0.0000 0.0000 0.0000 Ba
0.3780 0.3780 0.3780 Zn
0.3780 0.8659 0.3780 Zn
0.3780 0.3780 0.8659 Zn
0.8659 0.3780 0.3780 Zn
0.7500 0.7500 0.7500 As
```

Properties
energy of formation	-0.01	eV/atom
V	21.90	Å³/atom

---

3.
# BaZnAs2

A relaxed structure of BaZnAs2 (PBE, the Alexandria database).

POSCAR file:
```
BaZnAs2
1.0
5.0896 -0.0467 -0.0166
2.1551 4.6111 -0.0166
1.2764 0.8042 5.1245
Ba Zn As
1 1 2
Direct
0.7500 0.7500 0.7500 Ba
0.2500 0.2500 0.2500 Zn
0.4985 0.4985 0.3458 As
0.0015 0.0015 0.1542 As
```

Properties
energy of formation	-0.48	eV/atom
V	30.23	Å³/atom

---

4.
# Ba2ZnAs

A relaxed structure of Ba2ZnAs (PBE, the Alexandria database).

POSCAR file:
```
Ba2ZnAs
1.0
8.8337 0.0000 0.0000
0.0000 8.8337 0.0000
4.4169 4.4169 4.2336
Ba Zn As
4 2 2
Direct
0.0986 0.6250 0.2500 Ba
0.6514 0.1250 0.2500 Ba
0.3750 0.3486 0.7500 Ba
0.8750 0.9014 0.7500 Ba
0.2500 0.7500 0.5000 Zn
0.5000 0.5000 0.0000 Zn
0.7500 0.2500 0.5000 As
0.0000 0.0000 0.0000 As
```

Properties
energy of formation	-0.39	eV/atom
V	41.30	Å³/atom
excess energy over the best structure of this formula in the dataset	260	meV per atom

---

5.
# BaZnAs2

A relaxed structure of BaZnAs2 (PBE, the Alexandria database).

POSCAR file:
```
BaZnAs2
1.0
-3.1516 1.3675 4.1171
-3.9149 -3.0891 -1.9708
-0.6410 -7.3043 5.4273
Zn As Ba
2 4 2
Direct
0.2500 0.7500 0.5000 Zn
0.5000 0.5000 0.0000 Zn
0.3062 0.6250 0.2500 As
0.8750 0.6938 0.7500 As
0.4438 0.1250 0.2500 As
0.3750 0.5562 0.7500 As
0.7500 0.2500 0.5000 Ba
0.0000 0.0000 0.0000 Ba
```

Properties
energy of formation	-0.53	eV/atom
V	29.82	Å³/atom

---

6.
# BaZn2As

A relaxed structure of BaZn2As (PBE, the Alexandria database).

POSCAR file:
```
BaZn2As
1.0
5.2888 0.0000 0.0000
2.6444 4.5802 0.0000
2.6444 1.5267 4.3183
Zn As Ba
2 1 1
Direct
0.0000 0.0000 0.0000 Zn
0.2500 0.2500 0.2500 Zn
0.5000 0.5000 0.5000 As
0.7500 0.7500 0.7500 Ba
```

Properties
energy of formation	-0.17	eV/atom
V	26.15	Å³/atom

---

7.
# BaZnAs

A relaxed structure of BaZnAs (PBE, the Alexandria database).

POSCAR file:
```
BaZnAs
1.0
-4.1443 1.2751 0.2534
1.0429 -4.1529 0.7291
1.2142 2.0131 9.7304
Ba Zn As
2 2 2
Direct
0.0000 0.0000 0.0000 Ba
0.0000 0.0000 0.5000 Ba
0.6670 0.3341 0.2500 Zn
0.3330 0.6659 0.7500 Zn
0.6663 0.3326 0.7500 As
0.3337 0.6674 0.2500 As
```

Properties
energy of formation	-0.69	eV/atom
V	27.26	Å³/atom

---

8.
# Ba2ZnAs

A relaxed structure of Ba2ZnAs (PBE, the Alexandria database).

POSCAR file:
```
Ba2ZnAs
1.0
3.1315 -0.8190 4.7205
0.2832 4.0918 3.9921
-2.5820 -0.7482 5.0531
Zn As Ba
1 1 2
Direct
0.0000 0.0000 0.0000 Zn
0.5000 0.5000 0.5000 As
0.2500 0.2500 0.2500 Ba
0.7500 0.7500 0.7500 Ba
```

Properties
energy of formation	-0.58	eV/atom
V	33.15	Å³/atom
excess energy over the best structure of this formula in the dataset	73	meV per atom

---

9.
# BaZn2As2

A relaxed structure of BaZn2As2 (PBE, the Alexandria database).

POSCAR file:
```
BaZn2As2
1.0
-5.1499 4.3921 -4.6328
-6.2059 -4.8399 2.3103
-0.6381 2.1130 2.7125
As Zn Ba
4 4 2
Direct
0.3608 0.8608 0.0000 As
0.1392 0.3608 0.0000 As
0.8608 0.6392 0.0000 As
0.6392 0.1392 0.0000 As
0.3735 0.1265 0.5000 Zn
0.1265 0.6265 0.5000 Zn
0.8735 0.3735 0.5000 Zn
0.6265 0.8735 0.5000 Zn
0.0000 0.0000 0.0000 Ba
0.5000 0.5000 0.0000 Ba
```

Properties
energy of formation	-0.11	eV/atom
V	23.53	Å³/atom

---

10.
# Ba2ZnAs

A relaxed structure of Ba2ZnAs (PBE, the Alexandria database).

POSCAR file:
```
Ba2ZnAs
1.0
5.5187 0.0000 0.0000
0.0000 4.3632 -0.0195
0.0000 0.0233 5.5185
Zn As Ba
1 1 2
Direct
0.0000 0.6247 0.3792 Zn
0.5000 0.6257 0.8705 As
0.0000 0.1234 0.8770 Ba
0.5000 0.1263 0.3733 Ba
```

Properties
energy of formation	-0.60	eV/atom
V	33.22	Å³/atom
excess energy over the best structure of this formula in the dataset	49	meV per atom

---

11.
# BaZn2As

A relaxed structure of BaZn2As (PBE, the Alexandria database).

POSCAR file:
```
BaZn2As
1.0
-3.7061 -1.6953 -2.0406
2.5553 -3.2326 -1.9553
-0.7986 -3.0324 3.9696
Ba Zn As
1 2 1
Direct
0.0000 0.5000 0.5000 Ba
0.5000 0.5000 0.0000 Zn
0.0000 0.0000 0.0000 Zn
0.5000 0.0000 0.5000 As
```

Properties
energy of formation	-0.14	eV/atom
V	26.29	Å³/atom

---

12.
# BaZn2As

A relaxed structure of BaZn2As (PBE, the Alexandria database).

POSCAR file:
```
BaZn2As
1.0
4.5557 0.0000 0.0000
0.0000 4.9147 -0.0237
0.0000 0.0241 4.9981
Ba Zn As
1 2 1
Direct
0.5000 0.7500 0.7500 Ba
0.0000 0.2499 0.5071 Zn
0.0000 0.2501 0.9929 Zn
0.5000 0.2500 0.2500 As
```

Properties
energy of formation	-0.38	eV/atom
V	27.98	Å³/atom

---

Which value of V does entry 3 give? 30.23 Å³/atom

---

What did the seventh record say?
# BaZnAs

A relaxed structure of BaZnAs (PBE, the Alexandria database).

POSCAR file:
```
BaZnAs
1.0
-4.1443 1.2751 0.2534
1.0429 -4.1529 0.7291
1.2142 2.0131 9.7304
Ba Zn As
2 2 2
Direct
0.0000 0.0000 0.0000 Ba
0.0000 0.0000 0.5000 Ba
0.6670 0.3341 0.2500 Zn
0.3330 0.6659 0.7500 Zn
0.6663 0.3326 0.7500 As
0.3337 0.6674 0.2500 As
```

Properties
energy of formation	-0.69	eV/atom
V	27.26	Å³/atom

---

What is the V in the fourth record? 41.30 Å³/atom